Ga2FeH | GGA-PBEsol | relaxed

Calculated values
Crystal system   cubic
ρ   6.9 g/cm³
E   -4.2561 eV/atom
Symmetry   Fm-3m, No. 225
Calculated volume   47.1 Å³/cell

a = 4.0523 Å, b = 4.0523 Å, c = 4.0523 Å
α = 60.00°, β = 60.00°, γ = 60.00°
Last column: nearest neighbours and their distance in Å.
Element x y z (fractional)
Ga: 0.2500 0.2500 0.2500  4 H 2.48, 4 Fe 2.48
Ga: 0.7500 0.7500 0.7500  4 Fe 2.48, 4 H 2.48
Fe: 0.0000 0.0000 0.0000  8 Ga 2.48
H: 0.5000 0.5000 0.5000  8 Ga 2.48

---

AlOsRu2 | GGA-PBEsol | relaxed

Calculated values
Crystal system   tetragonal
ρ   12.8 g/cm³
E   -9.2199 eV/atom
Symmetry   I4/mmm, No. 139
Calculated volume   54.4 Å³/cell

a = 4.6214 Å, b = 4.6214 Å, c = 4.6214 Å
α = 131.39°, β = 131.39°, γ = 71.20°
Last column: nearest neighbours and their distance in Å.
Element x y z (fractional)
Al: 0.0000 0.0000 0.0000  8 Ru 2.67, 4 Os 2.69
Os: 0.5000 0.5000 0.0000  8 Ru 2.67, 4 Al 2.69
Ru: 0.2500 0.7500 0.5000  4 Al 2.67, 4 Os 2.67, 4 Ru 2.69
Ru: 0.7500 0.2500 0.5000  4 Al 2.67, 4 Os 2.67, 4 Ru 2.69

---

Ca3BBr | GGA-PBEsol | relaxed

Calculated values
Crystal system   cubic
ρ   2.4 g/cm³
E   -3.3290 eV/atom
Symmetry   Pm-3m, No. 221
Calculated volume   144.5 Å³/cell

a = 5.2481 Å, b = 5.2481 Å, c = 5.2481 Å
α = 90.00°, β = 90.00°, γ = 90.00°
Last column: nearest neighbours and their distance in Å.
Element x y z (fractional)
Ca: 0.0000 0.0000 0.5000  2 B 2.62
Ca: 0.0000 0.5000 0.0000  2 B 2.62
Ca: 0.5000 0.0000 0.0000  2 B 2.62
B: 0.0000 0.0000 0.0000  6 Ca 2.62
Br: 0.5000 0.5000 0.5000  12 Ca 3.71

---

LiAg2 | GGA-PBEsol | relaxed

Calculated values
Crystal system   trigonal
ρ   7.7 g/cm³
E   -2.9674 eV/atom
Excess energy over the best structure of this formula in the dataset   5.3 kJ per mole of atoms
Symmetry   P-3m1, No. 164
Calculated volume   47.8 Å³/cell

a = 2.8637 Å, b = 2.8637 Å, c = 6.7278 Å
α = 90.00°, β = 90.00°, γ = 120.00°
Last column: nearest neighbours and their distance in Å.
Element x y z (fractional)
Li: 0.0000 0.0000 0.0000  6 Ag 2.74, 6 Li 2.86
Ag: 0.3333 0.6667 0.3240  3 Li 2.74, 9 Ag 2.86-2.89
Ag: 0.6667 0.3333 0.6760  3 Li 2.74, 9 Ag 2.86-2.89

---

TiMnNi3 | GGA-PBEsol | relaxed

Calculated values
Crystal system   cubic
ρ   6.5 g/cm³
E   -6.4002 eV/atom
Symmetry   Pm-3m, No. 221
Calculated volume   71.0 Å³/cell

a = 4.1411 Å, b = 4.1411 Å, c = 4.1411 Å
α = 90.00°, β = 90.00°, γ = 90.00°
Last column: nearest neighbours and their distance in Å.
Element x y z (fractional)
Ti: 0.0000 0.0000 0.0000  12 Ni 2.93
Mn: 0.5000 0.5000 0.5000  6 Ni 2.07
Ni: 0.0000 0.5000 0.5000  2 Mn 2.07
Ni: 0.5000 0.0000 0.5000  2 Mn 2.07
Ni: 0.5000 0.5000 0.0000  2 Mn 2.07

---

RhPbSN2 | GGA-PBEsol | relaxed

Calculated values
Crystal system   tetragonal
ρ   8.2 g/cm³
E   -6.0094 eV/atom
Symmetry   P4/mmm, No. 123
Calculated volume   75.1 Å³/cell

a = 3.8933 Å, b = 3.8933 Å, c = 4.9563 Å
α = 90.00°, β = 90.00°, γ = 90.00°
Last column: nearest neighbours and their distance in Å.
Element x y z (fractional)
Rh: 0.0000 0.0000 0.0000  4 N 1.95
Pb: 0.5000 0.5000 0.5000  4 S 2.75
S: 0.0000 0.0000 0.5000  2 Rh 2.48, 4 Pb 2.75
N: 0.0000 0.5000 0.0000  2 Rh 1.95
N: 0.5000 0.0000 0.0000  2 Rh 1.95

---

Nd4Ga18Ni | GGA-PBEsol | relaxed

Calculated values
Crystal system   tetragonal
ρ   7.3 g/cm³
E   -4.2493 eV/atom
Symmetry   I4/mmm, No. 139
Calculated volume   430.8 Å³/cell

a = 23.2505 Å, b = 23.2505 Å, c = 23.2505 Å
α = 169.33°, β = 169.33°, γ = 15.11°
Last column: nearest neighbours and their distance in Å.
Element x y z (fractional)
Nd: 0.0789 0.0789 0.0000  16 Ga 3.22-3.50
Nd: 0.3060 0.3060 0.0000  16 Ga 3.28-3.37
Nd: 0.6940 0.6940 0.0000  16 Ga 3.28-3.37
Nd: 0.9211 0.9211 0.0000  16 Ga 3.22-3.50
Ga: 0.0271 0.5271 0.5000  2 Ni 2.50, 3 Ga 2.50-2.57
Ga: 0.1385 0.6385 0.5000  4 Ga 2.55-2.56
Ga: 0.1683 0.1683 0.0000  5 Ga 2.41-2.56
Ga: 0.2207 0.2207 0.0000  5 Ga 2.41-2.55
Ga: 0.2500 0.7500 0.5000  4 Ga 2.55
Ga: 0.3615 0.8615 0.5000  4 Ga 2.55-2.56
Ga: 0.3907 0.3907 0.0000  5 Ga 2.40-2.55
Ga: 0.4428 0.4428 0.0000  5 Ga 2.40-2.57
Ga: 0.4729 0.9729 0.5000  2 Ni 2.50, 3 Ga 2.50-2.57
Ga: 0.5271 0.0271 0.5000  2 Ni 2.50, 3 Ga 2.50-2.57
Ga: 0.5572 0.5572 0.0000  5 Ga 2.40-2.57
Ga: 0.6093 0.6093 0.0000  5 Ga 2.40-2.55
Ga: 0.6385 0.1385 0.5000  4 Ga 2.55-2.56
Ga: 0.7500 0.2500 0.5000  4 Ga 2.55
Ga: 0.7793 0.7793 0.0000  5 Ga 2.41-2.55
Ga: 0.8317 0.8317 0.0000  5 Ga 2.41-2.56
Ga: 0.8615 0.3615 0.5000  4 Ga 2.55-2.56
Ga: 0.9729 0.4729 0.5000  2 Ni 2.50, 3 Ga 2.50-2.57
Ni: 0.0000 0.0000 0.0000  8 Ga 2.50

---

MgAlSeBr2 | GGA-PBEsol | relaxed

Calculated values
Crystal system   tetragonal
ρ   3.9 g/cm³
E   -3.1870 eV/atom
Symmetry   P4/mmm, No. 123
Calculated volume   123.7 Å³/cell

a = 4.9654 Å, b = 4.9654 Å, c = 5.0175 Å
α = 90.00°, β = 90.00°, γ = 90.00°
Last column: nearest neighbours and their distance in Å.
Element x y z (fractional)
Mg: 0.0000 0.0000 0.0000  4 Se 3.51, 8 Br 3.53
Al: 0.5000 0.5000 0.5000  4 Br 2.48, 2 Se 2.51
Se: 0.5000 0.5000 0.0000  2 Al 2.51
Br: 0.0000 0.5000 0.5000  2 Al 2.48
Br: 0.5000 0.0000 0.5000  2 Al 2.48

---

MnTePbW2 | GGA-PBEsol | relaxed

Calculated values
Crystal system   tetragonal
ρ   9.3 g/cm³
E   -6.5116 eV/atom
Symmetry   P4/mmm, No. 123
Calculated volume   135.2 Å³/cell

a = 4.8843 Å, b = 4.8843 Å, c = 5.6660 Å
α = 90.00°, β = 90.00°, γ = 90.00°
Last column: nearest neighbours and their distance in Å.
Element x y z (fractional)
Mn: 0.0000 0.0000 0.0000  4 Pb 3.45, 8 W 3.74
Te: 0.5000 0.5000 0.5000  4 W 2.44
Pb: 0.5000 0.5000 0.0000  2 Te 2.83
W: 0.0000 0.5000 0.5000  2 Te 2.44
W: 0.5000 0.0000 0.5000  2 Te 2.44

---

Ba2TlAg | GGA-PBEsol | relaxed

Calculated values
Crystal system   tetragonal
ρ   7.0 g/cm³
E   -2.8609 eV/atom
Excess energy over the best structure of this formula in the dataset   0.0 kJ per mole of atoms
Symmetry   P4/mmm, No. 123
Calculated volume   138.3 Å³/cell

a = 5.8724 Å, b = 5.8724 Å, c = 4.0093 Å
α = 90.00°, β = 90.00°, γ = 90.00°
Last column: nearest neighbours and their distance in Å.
Element x y z (fractional)
Ba: 0.0000 0.5000 0.0000  4 Ag 3.56, 4 Tl 3.56
Ba: 0.5000 0.0000 0.0000  4 Ag 3.56, 4 Tl 3.56
Tl: 0.0000 0.0000 0.5000  8 Ba 3.56
Ag: 0.5000 0.5000 0.5000  8 Ba 3.56